## CuAgO2 (PBEsol)

Data for a relaxed CuAgO2 crystal.

Output
Symmetry: C2/m (12)
Crystal system: monoclinic
Energy relative to the elements, uncorrected in eV/atom: -0.35
D(E_F) in states/eV per atom: 0.29
Magnetization in μB per atom: 0.00
E in eV/atom: -4.884

Geometry as POSCAR:
```
CuAgO2
1.0
3.074 -1.399 0.000
3.074 1.399 0.000
-2.009 0.000 5.429
Cu Ag O
1 1 2
Cartesian
0.000 0.000 0.000
2.070 0.000 2.715
0.638 0.000 4.269
3.501 0.000 1.160
```